An optimized crystal structure of SrHoS2, computed with PBE.

Lattice parameters (Å, degrees): 3.9667 3.9667 21.1639 90.00 90.00 120.00
With the nearest neighbours (Å) after each atom.
Space group R3m (No. 160, hexagonal axes)
Inequivalent atoms, fractional coordinates:
Sr1 0.0000 0.0000 0.0000 [3 per cell]  6 S 2.94-3.08
Ho1 0.0000 0.0000 0.8252 [3 per cell]  6 S 2.74-2.82
S1 0.0000 0.0000 0.2362 [3 per cell]  3 Ho 2.82, 3 Sr 3.08
S2 0.0000 0.0000 0.4205 [3 per cell]  3 Ho 2.74, 3 Sr 2.94

Crystal system: trigonal
Formation energy from raw total energies (eV/f.u.): -7.8
ΔE to the lowest computed polymorph (meV per atom): 83


An optimized crystal structure of SrHo2S4, computed with PBE.

Lattice parameters (Å, degrees): 12.0373 3.9831 14.3314 90.00 90.00 90.00
With the nearest neighbours (Å) after each atom.
Space group Pnma (No. 62)
Inequivalent atoms, fractional coordinates:
Sr1 0.2415 0.2500 0.1624 [4 per cell]  8 S 3.09-3.31
Ho1 0.0659 0.2500 0.3896 [4 per cell]  6 S 2.71-2.76
Ho2 0.0815 0.2500 0.8995 [4 per cell]  6 S 2.68-2.77
S1 0.0246 0.7500 0.7840 [4 per cell]  3 Ho 2.68-2.72
S2 0.0864 0.2500 0.5778 [4 per cell]  3 Ho 2.71-2.75
S3 0.1288 0.7500 0.0275 [4 per cell]  3 Ho 2.74-2.77
S4 0.2062 0.7500 0.3271 [4 per cell]  3 Ho 2.76

Crystal system: orthorhombic
Formation energy from raw total energies (eV/f.u.): -14.9
ΔE to the lowest computed polymorph (meV per atom): 0


An optimized crystal structure of Sr4HoS5, computed with PBE.

Lattice parameters (Å, degrees): 9.3629 9.3629 5.9250 90.00 90.00 90.00
With the nearest neighbours (Å) after each atom.
Space group I4/m (No. 87)
Inequivalent atoms, fractional coordinates:
Sr1 0.0967 0.2999 0.0000 [8 per cell]  6 S 2.95-3.09
Ho1 0.0000 0.0000 0.5000 [2 per cell]  6 S 2.80-2.96
S1 0.0000 0.0000 0.0000 [2 per cell]  4 Sr 2.95, 2 Ho 2.96
S2 0.0944 0.2836 0.5000 [8 per cell]  1 Ho 2.80, 5 Sr 2.97-3.09

Crystal system: tetragonal
Formation energy from raw total energies (eV/f.u.): -20.7


Q: Look up the formation energy from raw total energies of the second one.
A: -14.9 eV/f.u.


Q: Which of these has the lowest formation energy from raw total energies?
A: Sr4HoS5


Q: The highest formation energy from raw total energies belongs to which entry?
A: SrHoS2